# TeP2Cl | Alexandria via LeMat-Bulk | PBE | relaxed
data_TeP2Cl
_space_group_name_H-M_alt 'C 1 2/m 1'
_space_group_IT_number 12
_space_group_name_Hall '-C 2y'
_cell_length_a 5.538
_cell_length_b 7.951
_cell_length_c 4.841
_cell_angle_alpha 90.00
_cell_angle_beta 124.61
_cell_angle_gamma 90.00
loop_
_atom_site_label
_atom_site_type_symbol
_atom_site_fract_x
_atom_site_fract_y
_atom_site_fract_z
_atom_site_occupancy
Te1 Te 0.000 0.000 0.000 1
P1 P 0.250 0.250 0.500 1
Cl1 Cl 0.000 0.500 0.000 1
# **ρ**: 4259 kg/m³
# **E_tot**: -26.94 eV per cell
# **DOS at the Fermi energy**: 2.045 states/eV/f.u.
# **Relative energy among the computed polymorphs**: 681.9 meV per atom
# **Magnetization**: 0.0 μB per formula unit
# **Formation energy (no corrections)**: 0.58 eV/atom